A relaxed structure of Tl2CrSi2O6, computed with PBE+U.

As for the total energy: -6.5338 eV/atom.

The structure belongs to space group R-3m (No. 166, hexagonal axes); the cell edges are 5.6748, 5.6748 and 17.1092 Å and the angles 90.00°, 90.00° and 120.00°. Symmetry generates all atoms from Tl at (0.0000, 0.0000, 0.2134), Cr at (0.0000, 0.0000, 0.0000), Si at (0.0000, 0.0000, 0.4163) and O at (0.0083, 0.5041, 0.2639).